Entry 1:
CsAsBr2F: optimized geometry, PBE.

Cell lengths 5.826, 5.826, 4.283 Å; angles 90.00, 90.00, 90.00 degrees
Fractional positions:
Cs 0.000 0.000 0.000
As 0.500 0.500 0.500
Br 0.000 0.500 0.500
Br 0.500 0.000 0.500
F 0.500 0.500 0.000

Computed properties:
* raw formation energy: -1182 meV per atom
* N(E_F): 2.059 states/eV/f.u.

=====

Entry 2:
Cs2AsBr4F2: optimized geometry, PBE.

Cell lengths 7.474, 7.474, 7.151 Å; angles 117.18, 117.18, 60.71 degrees
Fractional positions:
Cs 0.244 0.244 0.287
Cs 0.756 0.756 0.713
As 0.500 0.500 0.000
Br 0.234 0.719 0.229
Br 0.281 0.766 0.771
Br 0.719 0.234 0.229
Br 0.766 0.281 0.771
F 0.326 0.326 0.789
F 0.674 0.674 0.211

Computed properties:
* raw formation energy: -1474 meV per atom
* N(E_F): 3.143 states/eV/f.u.

=====

Entry 3:
CsAs2BrF: optimized geometry, PBE.

Cell lengths 4.690, 4.690, 7.201 Å; angles 90.00, 90.00, 90.00 degrees
Fractional positions:
Cs 0.000 0.000 0.000
As 0.000 0.500 0.500
As 0.500 0.000 0.500
Br 0.500 0.500 0.000
F 0.500 0.500 0.500

Computed properties:
* raw formation energy: -292 meV per atom
* N(E_F): 2.141 states/eV/f.u.

=====

Entry 4:
CsGaAs2Br: optimized geometry, PBE.

Cell lengths 6.119, 6.119, 6.584 Å; angles 90.00, 90.00, 90.00 degrees
Fractional positions:
Cs 0.000 0.000 0.000
Ga 0.500 0.500 0.500
As 0.000 0.500 0.000
As 0.500 0.000 0.000
Br 0.000 0.000 0.500

Computed properties:
* raw formation energy: 942 meV per atom
* N(E_F): 2.883 states/eV/f.u.

=====

Entry 5:
CsGaAs2Br: optimized geometry, PBE.

Cell lengths 4.977, 4.977, 6.934 Å; angles 90.00, 90.00, 90.00 degrees
Fractional positions:
Cs 0.000 0.000 0.000
Ga 0.500 0.500 0.500
As 0.000 0.500 0.500
As 0.500 0.000 0.500
Br 0.500 0.500 0.000

Computed properties:
* raw formation energy: -147 meV per atom
* N(E_F): 3.679 states/eV/f.u.

=====

Entry 6:
CsGeAs2Br: optimized geometry, PBE.

Cell lengths 5.989, 5.989, 6.307 Å; angles 90.00, 90.00, 90.00 degrees
Fractional positions:
Cs 0.000 0.000 0.000
Ge 0.500 0.500 0.500
As 0.000 0.500 0.000
As 0.500 0.000 0.000
Br 0.000 0.000 0.500

Computed properties:
* raw formation energy: 1322 meV per atom
* N(E_F): 4.326 states/eV/f.u.

=====

Entry 7:
CsGeAs2Br: optimized geometry, PBE.

Cell lengths 5.000, 5.000, 6.804 Å; angles 90.00, 90.00, 90.00 degrees
Fractional positions:
Cs 0.000 0.000 0.000
Ge 0.500 0.500 0.500
As 0.000 0.500 0.500
As 0.500 0.000 0.500
Br 0.500 0.500 0.000

Computed properties:
* raw formation energy: -66 meV per atom
* N(E_F): 4.440 states/eV/f.u.

=====

Entry 8:
Cs2GeAsBr6: optimized geometry, PBE.

Cell lengths 7.881, 7.881, 7.881 Å; angles 120.14, 120.14, 89.76 degrees
Fractional positions:
Cs 0.250 0.750 0.500
Cs 0.750 0.250 0.500
Ge 0.000 0.000 0.000
As 0.500 0.500 0.000
Br 0.252 0.252 0.000
Br 0.252 0.252 0.503
Br 0.252 0.748 0.000
Br 0.748 0.252 0.000
Br 0.748 0.748 0.000
Br 0.748 0.748 0.497

Computed properties:
* raw formation energy: -955 meV per atom
* N(E_F): 4.717 states/eV/f.u.

=====

Repeat the seventh record exactly.
CsGeAs2Br: optimized geometry, PBE.

Cell lengths 5.000, 5.000, 6.804 Å; angles 90.00, 90.00, 90.00 degrees
Fractional positions:
Cs 0.000 0.000 0.000
Ge 0.500 0.500 0.500
As 0.000 0.500 0.500
As 0.500 0.000 0.500
Br 0.500 0.500 0.000

Computed properties:
* raw formation energy: -66 meV per atom
* N(E_F): 4.440 states/eV/f.u.

=====

Question: Which of these has the lowest raw formation energy?
Answer: Cs2AsBr4F2

=====

Question: The highest raw formation energy belongs to which entry?
Answer: number 6

=====

Question: Which of these has the highest N(E_F)?
Answer: Cs2GeAsBr6